No. 1
A geometry-optimized PaGaCuNi structure, computed with PBE-GGA.

SG   No. 216
E   -23.508 eV for the cell shown

Cell lengths 4.5512, 4.5512, 4.5512 Å; angles 60.00, 60.00, 60.00 degrees
Positions (direct):
Ni 0.7500 0.7500 0.7500
Pa 0.5000 0.5000 0.5000
Cu 0.2500 0.2500 0.2500
Ga 0.0000 0.0000 0.0000

No. 2
A geometry-optimized Pa2GaCu3Ni12 structure, computed with PBE-GGA.

SG   No. 166
E   -102.383 eV for the cell shown

Cell lengths 8.5213, 8.5213, 8.5213 Å; angles 43.13, 43.13, 43.13 degrees
Positions (direct):
Pa 0.3630 0.3630 0.3630
Ni 0.8673 0.4339 0.8673
Pa 0.6370 0.6370 0.6370
Ni 0.4195 0.8027 0.4195
Ni 0.4339 0.8673 0.8673
Ni 0.8027 0.4195 0.4195
Cu 0.0000 0.5000 0.0000
Cu 0.0000 0.0000 0.5000
Ni 0.1973 0.5805 0.5805
Ni 0.1327 0.5661 0.1327
Ni 0.8673 0.8673 0.4339
Ni 0.4195 0.4195 0.8027
Cu 0.5000 0.0000 0.0000
Ni 0.5805 0.1973 0.5805
Ga 0.0000 0.0000 0.0000
Ni 0.1327 0.1327 0.5661
Ni 0.5805 0.5805 0.1973
Ni 0.5661 0.1327 0.1327

No. 3
A geometry-optimized PmGa2CuNi4 structure, computed with PBE-GGA.

SG   No. 166
E   -40.736 eV for the cell shown

Cell lengths 4.0460, 4.0460, 8.6148 Å; angles 76.42, 76.42, 60.00 degrees
Positions (direct):
Cu 0.5000 0.5000 0.5000
Ga 0.7652 0.7652 0.7043
Ni 0.4056 0.4056 0.7831
Ga 0.2348 0.2348 0.2957
Pm 0.0000 0.0000 0.0000
Ni 0.5944 0.5944 0.2169
Ni 0.8702 0.8702 0.3893
Ni 0.1298 0.1298 0.6107

No. 4
A geometry-optimized Pm2Ga4CuNi3 structure, computed with PBE-GGA.

SG   No. 115
E   -48.400 eV for the cell shown

Cell lengths 4.2404, 4.2404, 9.5773 Å; angles 90.00, 90.00, 90.00 degrees
Positions (direct):
Ga 0.0000 0.5000 0.3742
Pm 0.5000 0.0000 0.2521
Ni 0.0000 0.5000 0.1272
Ga 0.0000 0.0000 0.0000
Cu 0.5000 0.5000 0.5000
Pm 0.0000 0.5000 0.7479
Ni 0.0000 0.0000 0.5000
Ga 0.5000 0.0000 0.6258
Ni 0.5000 0.0000 0.8728
Ga 0.5000 0.5000 0.0000

No. 5
A geometry-optimized PmGa4CuNi2 structure, computed with PBE-GGA.

SG   No. 166
E   -35.738 eV for the cell shown

Cell lengths 4.1316, 4.1316, 9.0681 Å; angles 76.83, 76.83, 60.00 degrees
Positions (direct):
Ga 0.4034 0.4034 0.7898
Ga 0.1291 0.1291 0.6128
Ga 0.8709 0.8709 0.3872
Ga 0.5966 0.5966 0.2102
Ni 0.7688 0.7688 0.6937
Ni 0.2312 0.2312 0.3063
Pm 0.0000 0.0000 0.0000
Cu 0.5000 0.5000 0.5000

No. 6
A geometry-optimized Pm2GaCu12Ni3 structure, computed with PBE-GGA.

SG   No. 166
E   -78.631 eV for the cell shown

Cell lengths 6.4139, 6.4139, 6.4139 Å; angles 82.91, 82.91, 82.91 degrees
Positions (direct):
Pm 0.7466 0.7466 0.7466
Cu 0.1994 0.1994 0.7262
Ga 0.0000 0.0000 0.0000
Cu 0.1553 0.5739 0.5739
Cu 0.7262 0.1994 0.1994
Cu 0.1994 0.7262 0.1994
Cu 0.8006 0.8006 0.2738
Cu 0.5739 0.5739 0.1553
Cu 0.8447 0.4261 0.4261
Ni 0.0000 0.5000 0.0000
Ni 0.5000 0.0000 0.0000
Cu 0.4261 0.4261 0.8447
Cu 0.4261 0.8447 0.4261
Cu 0.2738 0.8006 0.8006
Pm 0.2534 0.2534 0.2534
Cu 0.8006 0.2738 0.8006
Cu 0.5739 0.1553 0.5739
Ni 0.0000 0.0000 0.5000